No. 1
Density functional theory data (PBE) for crystalline KFe2Se at its relaxed geometry.

```
4
Lattice="6.041 -0.001 0.000 3.022 5.231 0.000 -3.720 -4.021 2.547" Properties=species:S:1:pos:R:3 pbc="T T T"
Fe 0.453 0.261 0.000
Fe 4.079 2.354 0.000
K 3.426 -0.703 1.273
Se 1.917 1.912 1.273
```

Output
- E_form (uncorrected): 2.3 eV per formula unit
- E: -4.814 eV per atom
- Magnetization: 5.68 Bohr magnetons per cell

No. 2
Density functional theory data (PBE) for crystalline K2Hg2Bi at its relaxed geometry.

```
5
Lattice="-2.507 -0.640 3.425 -3.186 -1.286 -2.573 0.568 -10.765 1.096" Properties=species:S:1:pos:R:3 pbc="T T T"
K -2.141 -2.988 0.565
K -2.985 -9.702 1.383
Bi 0.000 0.000 0.000
Hg -2.393 -6.183 2.473
Hg -2.733 -6.507 -0.525
```

Output
- Calculated formation energy: -0.196 eV/atom
- Excess energy over the best structure of this formula in the dataset: 130.0 meV/atom
- E: -1.532 eV per atom
- Magnetization: 0.00 Bohr magnetons per cell

No. 3
Density functional theory data (PBE) for crystalline Co2MoP at its relaxed geometry.

```
4
Lattice="2.695 0.007 0.000 -0.008 2.695 0.000 0.000 0.000 6.540" Properties=species:S:1:pos:R:3 pbc="T T T"
Co 0.000 0.000 6.208
Co 0.000 0.000 3.602
Mo 1.344 1.351 1.635
P 1.344 1.351 4.905
```

Output
- Calculated formation energy: -0.155 eV/atom
- E: -7.768 eV per atom
- Magnetization: 1.57 Bohr magnetons per cell

No. 4
Density functional theory data (PBE) for crystalline Sc2ReRu at its relaxed geometry.

```
4
Lattice="-5.518 -6.653 -0.628 -2.942 -8.152 0.053 -4.646 -6.949 2.287" Properties=species:S:1:pos:R:3 pbc="T T T"
Re -3.277 -5.438 0.428
Ru -9.830 -16.315 1.284
Sc -0.031 -0.051 0.004
Sc -6.522 -10.826 0.852
```

Output
- Calculated formation energy: 0.032 eV/atom
- E: -8.564 eV per atom
- Magnetization: 0.03 Bohr magnetons per cell

No. 5
Density functional theory data (PBE) for crystalline MnBeSb at its relaxed geometry.

```
3
Lattice="-1.177 2.827 -0.239 -0.985 -2.236 -1.861 -4.310 -1.453 4.028" Properties=species:S:1:pos:R:3 pbc="T T T"
Sb -3.918 -1.516 1.361
Mn -2.427 0.696 0.448
Be -0.127 -0.043 0.119
```

Output
- E_form (uncorrected): 1.7 eV per formula unit
- Excess energy over the best structure of this formula in the dataset: 373.2 meV/atom
- E: -5.114 eV per atom
- Magnetization: 3.05 Bohr magnetons per cell

No. 6
Density functional theory data (PBE) for crystalline Sm3Cu3Pd at its relaxed geometry.

```
7
Lattice="4.211 0.000 -0.919 -0.189 3.722 -0.865 -0.062 0.314 9.827" Properties=species:S:1:pos:R:3 pbc="T T T"
Sm 1.146 3.244 5.253
Sm 2.825 0.803 2.839
Sm 3.958 4.032 8.030
Cu 0.446 2.463 2.043
Cu 3.490 1.544 5.885
Cu 2.282 2.162 0.347
Pd 1.697 1.893 7.779
```

Output
- Calculated formation energy: -0.355 eV/atom
- E: -4.875 eV per atom
- Magnetization: 0.00 Bohr magnetons per cell